Entry 1:
Density functional theory data (GGA-PBE) for a geometry-optimized TbSnP2O8 structure.

Output
Energy relative to the elements, uncorrected in kcal/mol of atoms: -50.93
Space-group type: No. 148
Size of the total moment in μB per formula unit: 0.0
V in Å³/cell: 154
Final energy in eV/atom: -7.135

Cell: 4.9558 4.9558 7.7724 Å, 71.41 71.41 60.00°
Positions (direct):
Tb (0.0000, 0.0000, 0.0000)
Sn (0.5000, 0.5000, 0.5000)
P (0.2456, 0.2456, 0.2633)
P (0.7544, 0.7544, 0.7367)
O (0.1738, 0.1738, 0.4787)
O (0.5552, 0.2868, 0.1947)
O (0.8262, 0.8262, 0.5213)
O (0.9632, 0.5552, 0.1947)
O (0.0368, 0.4448, 0.8053)
O (0.2868, 0.9632, 0.1947)
O (0.7132, 0.0368, 0.8053)
O (0.4448, 0.7132, 0.8053)

---

Entry 2:
Density functional theory data (GGA-PBE) for a geometry-optimized LaGeTeN2 structure.

Output
Energy relative to the elements, uncorrected in kcal/mol of atoms: 16.98
Space-group type: No. 123
Size of the total moment in μB per formula unit: 0.4
V in Å³/cell: 126
Final energy in eV/atom: -5.131

Cell: 4.3172 4.3172 6.7826 Å, 90.00 90.00 90.00°
Positions (direct):
N (0.0000, 0.5000, 0.0000)
N (0.5000, 0.0000, 0.0000)
Ge (0.5000, 0.5000, 0.5000)
Te (0.0000, 0.0000, 0.5000)
La (0.0000, 0.0000, 0.0000)

---

Which of these has the lowest energy relative to the elements, uncorrected? TbSnP2O8

---

Which value of size of the total moment does entry 1 give? 0.0 μB per formula unit

---

size of the total moment of number 2 (LaGeTeN2)? 0.4 μB per formula unit